Density functional theory data (PBE) for a relaxed AcSn8Pd4 crystal.

Its crystal system is tetragonal. For the size of the total moment, the calculation gives 0.000 μB/f.u. The total energy is -61.51 eV per cell. For the formation energy, the calculation gives -354 meV per atom.

Cell: 7.638 7.638 7.638 Å, 99.17 99.17 132.94°
Positions (direct):
1 Ac 0.000 0.000 0.000
2 Sn 0.000 0.342 0.342
3 Sn 0.000 0.658 0.658
4 Sn 0.283 0.500 0.783
5 Sn 0.342 0.000 0.342
6 Sn 0.500 0.283 0.783
7 Sn 0.500 0.717 0.217
8 Sn 0.658 0.000 0.658
9 Sn 0.717 0.500 0.217
10 Pd 0.000 0.000 0.500
11 Pd 0.000 0.500 0.000
12 Pd 0.500 0.000 0.000
13 Pd 0.500 0.500 0.500